(1)
Al2ZnCu | meta-GGA SCAN | single point on PBEsol structure

Structure (POSCAR):
```
Al2ZnCu
1.0
-2.6427 0.4387 0.7852
-2.0283 -1.6799 -0.9256
-0.4157 -5.4621 6.6146
Zn Al Cu
1 2 1
direct
0.2452 0.2452 0.2644
0.9985 0.9985 0.0046
0.7561 0.7561 0.7316
0.5002 0.5002 0.4994
```

Results
energy relative to the elements	-0.059	eV per atom



(2)
Al2ZnCu | meta-GGA SCAN | single point on PBEsol structure

Structure (POSCAR):
```
Al2ZnCu
1.0
-2.9559 -1.9182 1.6916
-1.2023 -1.2396 -3.5066
4.2245 -1.4360 1.2376
Zn Al Cu
1 2 1
direct
0.0000 0.0000 0.0000
0.7500 0.2500 0.5000
0.2500 0.7500 0.5000
0.5000 0.5000 0.0000
```

Results
energy relative to the elements	-0.079	eV per atom



(3)
Zr2AlCu2 | meta-GGA SCAN | single point on PBEsol structure

Structure (POSCAR):
```
Zr2AlCu2
1.0
-1.0303 1.8831 -4.7254
0.1212 -5.1497 0.7716
-6.7387 1.6686 2.1342
Al Cu Zr
2 4 4
direct
0.8290 0.0000 0.7500
0.1710 0.0000 0.2500
0.7342 0.7322 0.0033
0.0020 0.2678 0.4967
0.2658 0.2678 0.9967
0.9980 0.7322 0.5033
0.5123 0.2957 0.6441
0.2166 0.7043 0.8559
0.4877 0.7043 0.3559
0.7834 0.2957 0.1441
```

Results
energy relative to the elements	-0.374	eV per atom



(4)
ZrAl2Cu4 | meta-GGA SCAN | single point on PBEsol structure

Structure (POSCAR):
```
ZrAl2Cu4
1.0
-0.8018 -0.3552 4.0021
0.0178 -5.5491 -0.4889
8.3299 1.7215 1.8216
Al Cu Zr
4 8 2
direct
0.2500 0.8529 0.0501
0.7500 0.1471 0.9499
0.2500 0.2726 0.6035
0.7500 0.7274 0.3965
0.2500 0.9795 0.7976
0.7500 0.0205 0.2024
0.2500 0.6933 0.5472
0.7500 0.3067 0.4528
0.2500 0.9564 0.3484
0.7500 0.0436 0.6516
0.2500 0.4180 0.9141
0.7500 0.5820 0.0859
0.7500 0.6093 0.7674
0.2500 0.3907 0.2326
```

Results
energy relative to the elements	-0.359	eV per atom



(5)
Zr2AlCu | meta-GGA SCAN | single point on PBEsol structure

Structure (POSCAR):
```
Zr2AlCu
1.0
3.1519 0.0000 0.0000
0.0000 3.9371 0.0000
0.0000 0.0000 5.6881
Cu Zr Al
1 2 1
direct
0.5000 0.5000 0.5000
0.0000 0.0000 0.7432
0.0000 0.0000 0.2568
0.5000 0.5000 0.0000
```

Results
energy relative to the elements	-0.290	eV per atom



(6)
Zr2Al3Cu | meta-GGA SCAN | single point on PBEsol structure

Structure (POSCAR):
```
Zr2Al3Cu
1.0
3.9925 0.0000 0.0000
0.0000 4.0838 0.0000
-1.9963 0.0000 6.2737
Zr Al Cu
2 3 1
direct
0.1580 0.5000 0.3159
0.8420 0.5000 0.6841
0.3373 0.0000 0.6746
0.6627 0.0000 0.3254
0.5000 0.5000 0.0000
0.0000 0.0000 0.0000
```

Results
energy relative to the elements	-0.445	eV per atom



(7)
ZrAl4Cu2 | meta-GGA SCAN | single point on PBEsol structure

Structure (POSCAR):
```
ZrAl4Cu2
1.0
4.0390 0.0000 0.0000
0.0000 6.3911 -0.0133
0.0000 -2.9349 8.2438
Al Cu Zr
8 4 2
direct
0.2500 0.1010 0.1183
0.7500 0.8990 0.8817
0.2500 0.1154 0.4379
0.7500 0.8846 0.5621
0.2500 0.5576 0.6404
0.7500 0.4424 0.3596
0.2500 0.5146 0.1228
0.7500 0.4854 0.8772
0.2500 0.7210 0.9366
0.7500 0.2790 0.0634
0.2500 0.7159 0.4188
0.7500 0.2841 0.5812
0.7500 0.8573 0.2194
0.2500 0.1427 0.7806
```

Results
energy relative to the elements	-0.443	eV per atom



(8)
Zr2AlCu | meta-GGA SCAN | single point on PBEsol structure

Structure (POSCAR):
```
Zr2AlCu
1.0
-3.9380 2.1763 -3.2556
-3.1672 -3.5731 -3.2945
-5.5286 -0.3393 1.7237
Cu Al Zr
2 2 4
direct
0.7500 0.2027 0.2973
0.2500 0.7973 0.7027
0.2500 0.2030 0.2970
0.7500 0.7970 0.7030
0.2217 0.2783 0.7783
0.2783 0.7217 0.2217
0.7783 0.7217 0.2217
0.7217 0.2783 0.7783
```

Results
energy relative to the elements	-0.307	eV per atom



(9)
Zr2AlCu | meta-GGA SCAN | single point on PBEsol structure

Structure (POSCAR):
```
Zr2AlCu
1.0
3.9387 0.0000 0.0000
0.0000 4.2401 0.0000
0.0000 0.0000 4.2401
Cu Zr Al
1 2 1
direct
0.5000 0.0000 0.0000
0.0000 0.0000 0.5000
0.0000 0.5000 0.0000
0.5000 0.5000 0.5000
```

Results
energy relative to the elements	-0.278	eV per atom



(10)
Zr6Al7Cu16 | meta-GGA SCAN | single point on PBEsol structure

Structure (POSCAR):
```
Zr6Al7Cu16
1.0
8.3438 0.0000 0.0000
4.1719 7.2260 0.0000
4.1719 2.4087 6.8127
Al Cu Zr
7 16 6
direct
0.0000 0.0000 0.0000
0.5000 0.5000 0.0000
0.0000 0.0000 0.5000
0.5000 0.0000 0.0000
0.0000 0.5000 0.5000
0.5000 0.0000 0.5000
0.0000 0.5000 0.0000
0.6417 0.1194 0.1194
0.1194 0.1194 0.6417
0.1194 0.1194 0.1194
0.1194 0.6417 0.1194
0.8806 0.8806 0.3583
0.3583 0.8806 0.8806
0.8806 0.8806 0.8806
0.8806 0.3583 0.8806
0.0143 0.3286 0.3286
0.3286 0.3286 0.0143
0.3286 0.3286 0.3286
0.3286 0.0143 0.3286
0.6714 0.6714 0.9857
0.9857 0.6714 0.6714
0.6714 0.6714 0.6714
0.6714 0.9857 0.6714
0.7055 0.7055 0.2945
0.2945 0.2945 0.7055
0.7055 0.2945 0.2945
0.2945 0.7055 0.7055
0.7055 0.2945 0.7055
0.2945 0.7055 0.2945
```

Results
energy relative to the elements	-0.460	eV per atom



(11)
Zr2AlCu | meta-GGA SCAN | single point on PBEsol structure

Structure (POSCAR):
```
Zr2AlCu
1.0
-3.7424 -1.4474 -1.4843
2.4613 -3.0645 2.9483
-2.0205 3.2324 1.9424
Cu Zr Al
1 2 1
direct
0.5000 0.0000 0.5000
0.7500 0.5000 0.2500
0.2500 0.5000 0.7500
0.0000 0.0000 0.0000
```

Results
energy relative to the elements	-0.297	eV per atom



(12)
Zr2Al3Cu | meta-GGA SCAN | single point on PBEsol structure

Structure (POSCAR):
```
Zr2Al3Cu
1.0
3.2093 0.0000 0.0000
0.0000 8.6018 0.0000
0.0000 -4.3009 7.4493
Al Cu Zr
6 2 4
direct
0.5003 0.8285 0.6569
0.5003 0.8285 0.1715
0.5003 0.3431 0.1715
0.4997 0.1715 0.3431
0.4997 0.6569 0.8285
0.4997 0.1715 0.8285
0.5000 0.6667 0.3333
0.5000 0.3333 0.6667
0.0000 0.0000 0.0000
0.0000 0.5000 0.5000
0.0000 0.0000 0.5000
0.0000 0.5000 0.0000
```

Results
energy relative to the elements	-0.516	eV per atom